No. 1
Compound: Pm6NdHo3
Source: Alexandria via LeMat-Bulk
Functional: PBE
Structure: optimized geometry

Results
DOS at the Fermi energy, states/eV/atom: 1.4287
ΔE to the lowest computed polymorph, eV per atom: 0.018
Space-group type: Cmc2_1, No. 36
Calculated volume, Å³/f.u.: 336.0

Structure (CIF):
```
data_Pm6NdHo3
_cell_length_a 6.324
_cell_length_b 11.102
_cell_length_c 11.102
_cell_angle_alpha 120.43
_cell_angle_beta 90.00
_cell_angle_gamma 90.00
_symmetry_space_group_name_H-M 'P 1'
_symmetry_Int_Tables_number 1
loop_
_symmetry_equiv_pos_as_xyz
'x,y,z'
loop_
_atom_site_label
_atom_site_type_symbol
_atom_site_fract_x
_atom_site_fract_y
_atom_site_fract_z
Pm1 Pm 0.047 0.709 0.627
Pm2 Pm 0.547 0.627 0.709
Pm3 Pm 0.372 0.527 0.945
Pm4 Pm 0.872 0.945 0.527
Pm5 Pm 0.380 0.962 0.038
Pm6 Pm 0.645 0.281 0.719
Pm7 Pm 0.145 0.719 0.281
Pm8 Pm 0.880 0.038 0.962
Pm9 Pm 0.372 0.055 0.473
Pm10 Pm 0.872 0.473 0.055
Pm11 Pm 0.047 0.373 0.291
Pm12 Pm 0.547 0.291 0.373
Nd1 Nd 0.113 0.196 0.804
Nd2 Nd 0.613 0.804 0.196
Ho1 Ho 0.462 0.942 0.712
Ho2 Ho 0.962 0.712 0.942
Ho3 Ho 0.085 0.385 0.615
Ho4 Ho 0.585 0.615 0.385
Ho5 Ho 0.962 0.058 0.288
Ho6 Ho 0.462 0.288 0.058
```

No. 2
Compound: KHg2AsSe4
Source: Alexandria via LeMat-Bulk
Functional: PBE
Structure: optimized geometry

Results
Space-group type: I222, No. 23
Raw formation energy, eV per formula unit: -2.64
Calculated volume, Å³/f.u.: 258.6

Structure (CIF):
```
data_KHg2AsSe4
_cell_length_a 6.985
_cell_length_b 7.019
_cell_length_c 7.019
_cell_angle_alpha 77.76
_cell_angle_beta 60.16
_cell_angle_gamma 60.16
_symmetry_space_group_name_H-M 'P 1'
_symmetry_Int_Tables_number 1
loop_
_symmetry_equiv_pos_as_xyz
'x,y,z'
loop_
_atom_site_label
_atom_site_type_symbol
_atom_site_fract_x
_atom_site_fract_y
_atom_site_fract_z
K1 K 0.000 0.000 0.000
Hg1 Hg 0.500 0.684 0.316
Hg2 Hg 0.500 0.316 0.684
As1 As 0.000 0.500 0.500
Se1 Se 0.605 0.508 0.855
Se2 Se 0.395 0.145 0.492
Se3 Se 0.967 0.492 0.145
Se4 Se 0.033 0.855 0.508
```

Question: Among the records above, which one has the lowest calculated volume?
Answer: KHg2AsSe4